FeC2F2: optimized geometry, PBE+U.

Results
**Offset from the most stable computed form**: 0.0000 eV per atom
**Raw total energy**: -5.533 eV per atom
**Total moment**: 0.80 μB per atom
**Volume**: 57 Å³/f.u.
**Fermi-level density of states**: 0.144 states/eV/atom

a b c (Å): 2.4814 2.4814 18.4622
angles (deg): 90.00 90.00 90.00
Space group I4/mmm (No. 139)
One atom of each set of equivalent atoms:
Fe 0.0000 0.0000 0.0000 x2
C 0.0000 0.5000 0.2500 x4
F 0.0000 0.0000 0.4334 x4